No. 1
Rb3TaTe4 | PBE-GGA | optimized geometry

Cell and atoms, written as CIF:
```
data_Rb3TaTe4
_chemical_formula_sum 'Rb6 Ta2 Te8'
_cell_length_a 7.990
_cell_length_b 11.430
_cell_length_c 8.528
_cell_angle_alpha 90.00
_cell_angle_beta 90.00
_cell_angle_gamma 90.00
_space_group_name_H-M_alt 'I m m 2'
_space_group_IT_number 44
_space_group_name_Hall 'I 2 -2'
loop_
_atom_site_label
_atom_site_fract_x
_atom_site_fract_y
_atom_site_fract_z
Rb1 0.000 0.000 0.000
Rb2 0.000 0.252 0.391
Ta1 0.000 0.500 0.976
Te1 0.000 0.306 0.807
Te2 0.239 0.000 0.656
```

Summary:
Calculated volume (Å³/atom): 48.7
Total DFT energy (no corrections) (eV/atom): -4.120
Total moment (μB per atom): 0.000
Raw formation energy (eV/atom): -0.7049

---

No. 2
Sm4Tm3Pu | PBE-GGA | optimized geometry

Cell and atoms, written as CIF:
```
data_Sm4Tm3Pu
_chemical_formula_sum 'Sm8 Tm6 Pu2'
_cell_length_a 3.438
_cell_length_b 11.546
_cell_length_c 12.804
_cell_angle_alpha 90.00
_cell_angle_beta 90.00
_cell_angle_gamma 90.00
_space_group_name_H-M_alt 'I m m m'
_space_group_IT_number 71
_space_group_name_Hall '-I 2 2'
loop_
_atom_site_label
_atom_site_fract_x
_atom_site_fract_y
_atom_site_fract_z
Sm1 0.000 0.248 0.131
Tm1 0.000 0.000 0.500
Tm2 0.000 0.500 0.265
Pu1 0.000 0.000 0.000
```

Summary:
Calculated volume (Å³/atom): 31.8
Formation enthalpy at 0 K (eV per atom): 0.158
Total DFT energy (no corrections) (eV/atom): -5.670
Total moment (μB per atom): 0.787

---

No. 3
GaSb2PbI | PBE-GGA | optimized geometry

Cell and atoms, written as CIF:
```
data_GaSb2PbI
_chemical_formula_sum 'Ga1 Sb2 Pb1 I1'
_cell_length_a 5.861
_cell_length_b 5.861
_cell_length_c 6.385
_cell_angle_alpha 90.00
_cell_angle_beta 90.00
_cell_angle_gamma 90.00
_space_group_name_H-M_alt 'P 4/m m m'
_space_group_IT_number 123
_space_group_name_Hall '-P 4 2'
loop_
_atom_site_label
_atom_site_fract_x
_atom_site_fract_y
_atom_site_fract_z
Ga1 0.000 0.000 0.000
Sb1 0.000 0.500 0.500
Pb1 0.500 0.500 0.500
I1 0.500 0.500 0.000
```

Summary:
Calculated volume (Å³/atom): 43.9
Distance to the lowest polymorph of the same formula (meV/atom): 263.9
Total DFT energy (no corrections) (eV/atom): -2.694
Total moment (μB per atom): 0.250
Raw formation energy (eV/atom): 0.6122

---

No. 4
ZrSc6Pb | PBE-GGA | optimized geometry

Cell and atoms, written as CIF:
```
data_ZrSc6Pb
_chemical_formula_sum 'Zr1 Sc6 Pb1'
_cell_length_a 4.537
_cell_length_b 4.537
_cell_length_c 9.249
_cell_angle_alpha 90.00
_cell_angle_beta 90.00
_cell_angle_gamma 90.00
_space_group_name_H-M_alt 'P 4/m m m'
_space_group_IT_number 123
_space_group_name_Hall '-P 4 2'
loop_
_atom_site_label
_atom_site_fract_x
_atom_site_fract_y
_atom_site_fract_z
Zr1 0.000 0.000 0.000
Sc1 0.000 0.500 0.245
Sc2 0.500 0.500 0.000
Sc3 0.500 0.500 0.500
Pb1 0.000 0.000 0.500
```

Summary:
Calculated volume (Å³/atom): 23.8
Formation enthalpy at 0 K (eV per atom): -0.143
Total DFT energy (no corrections) (eV/atom): -6.423
Total moment (μB per atom): 0.127

---

No. 5
MgZr2Si | PBE-GGA | optimized geometry

Cell and atoms, written as CIF:
```
data_MgZr2Si
_chemical_formula_sum 'Mg2 Zr4 Si2'
_cell_length_a 6.079
_cell_length_b 8.270
_cell_length_c 3.080
_cell_angle_alpha 90.00
_cell_angle_beta 90.14
_cell_angle_gamma 90.00
_space_group_name_H-M_alt 'C 1 2/m 1'
_space_group_IT_number 12
_space_group_name_Hall '-C 2y'
loop_
_atom_site_label
_atom_site_fract_x
_atom_site_fract_y
_atom_site_fract_z
Mg1 0.000 0.000 0.000
Zr1 0.250 0.250 0.500
Si1 0.000 0.500 0.000
```

Summary:
Calculated volume (Å³/atom): 19.4
Total DFT energy (no corrections) (eV/atom): -6.281
Total moment (μB per atom): 0.000
Raw formation energy (eV/atom): -0.2528

---

No. 6
YBi6 | PBE-GGA | optimized geometry

Cell and atoms, written as CIF:
```
data_YBi6
_chemical_formula_sum 'Y2 Bi12'
_cell_length_a 8.748
_cell_length_b 8.748
_cell_length_c 8.748
_cell_angle_alpha 90.00
_cell_angle_beta 90.00
_cell_angle_gamma 90.00
_space_group_name_H-M_alt 'I m -3 m'
_space_group_IT_number 229
_space_group_name_Hall '-I 4 2 3'
loop_
_atom_site_label
_atom_site_fract_x
_atom_site_fract_y
_atom_site_fract_z
Y1 0.000 0.000 0.000
Bi1 0.000 0.250 0.500
```

Summary:
Calculated volume (Å³/atom): 47.8
Formation enthalpy at 0 K (eV per atom): 0.566
Total DFT energy (no corrections) (eV/atom): -3.684
Total moment (μB per atom): 0.101

---

No. 7
TbSm2Tl | PBE-GGA | optimized geometry

Cell and atoms, written as CIF:
```
data_TbSm2Tl
_chemical_formula_sum 'Tb3 Sm6 Tl3'
_cell_length_a 3.5816
_cell_length_b 3.5816
_cell_length_c 36.7216
_cell_angle_alpha 90.00
_cell_angle_beta 90.00
_cell_angle_gamma 120.00
_space_group_name_H-M_alt 'R -3 m'
_space_group_IT_number 166
_space_group_name_Hall '-R 3 2"'
loop_
_atom_site_label
_atom_site_fract_x
_atom_site_fract_y
_atom_site_fract_z
Tb1 0.0000 0.0000 0.0000
Sm1 0.0000 0.0000 0.4113
Tl1 0.0000 0.0000 0.5000
```

Summary:
Calculated volume (Å³/atom): 34.0
Formation enthalpy at 0 K (eV per atom): 0.080
Distance to the lowest polymorph of the same formula (meV/atom): 272.5
Total DFT energy (no corrections) (eV/atom): -4.028
Total moment (μB per atom): 0.000

---

No. 8
PrZnCuSi2 | PBE-GGA | optimized geometry

Cell and atoms, written as CIF:
```
data_PrZnCuSi2
_chemical_formula_sum 'Pr2 Zn2 Cu2 Si4'
_cell_length_a 4.139
_cell_length_b 4.139
_cell_length_c 10.234
_cell_angle_alpha 90.00
_cell_angle_beta 90.00
_cell_angle_gamma 90.00
_space_group_name_H-M_alt 'I -4 m 2'
_space_group_IT_number 119
_space_group_name_Hall 'I -4 -2'
loop_
_atom_site_label
_atom_site_fract_x
_atom_site_fract_y
_atom_site_fract_z
Pr1 0.000 0.000 0.000
Zn1 0.000 0.500 0.250
Cu1 0.000 0.500 0.750
Si1 0.000 0.000 0.383
```

Summary:
Calculated volume (Å³/atom): 17.5
Total DFT energy (no corrections) (eV/atom): -4.688
Total moment (μB per atom): 0.000
Raw formation energy (eV/atom): -0.4889

---

No. 9
Sm4B3C5 | PBE-GGA | optimized geometry

Cell and atoms, written as CIF:
```
data_Sm4B3C5
_chemical_formula_sum 'Sm8 B6 C10'
_cell_length_a 10.478
_cell_length_b 3.789
_cell_length_c 9.004
_cell_angle_alpha 90.00
_cell_angle_beta 110.03
_cell_angle_gamma 90.00
_space_group_name_H-M_alt 'C 1 2/m 1'
_space_group_IT_number 12
_space_group_name_Hall '-C 2y'
loop_
_atom_site_label
_atom_site_fract_x
_atom_site_fract_y
_atom_site_fract_z
Sm1 0.105 0.000 0.391
Sm2 0.244 0.500 0.160
B1 0.000 0.000 0.000
B2 0.046 0.500 0.861
C1 0.000 0.500 0.000
C2 0.082 0.500 0.719
C3 0.165 0.500 0.626
```

Summary:
Calculated volume (Å³/atom): 14.0
Formation enthalpy at 0 K (eV per atom): 0.051
Total DFT energy (no corrections) (eV/atom): -7.035
Total moment (μB per atom): 0.000

---

No. 10
Mg2BeAs | PBE-GGA | optimized geometry

Cell and atoms, written as CIF:
```
data_Mg2BeAs
_chemical_formula_sum 'Mg2 Be1 As1'
_cell_length_a 3.319
_cell_length_b 3.319
_cell_length_c 6.663
_cell_angle_alpha 90.00
_cell_angle_beta 90.00
_cell_angle_gamma 90.00
_space_group_name_H-M_alt 'P 4 m m'
_space_group_IT_number 99
_space_group_name_Hall 'P 4 -2'
loop_
_atom_site_label
_atom_site_fract_x
_atom_site_fract_y
_atom_site_fract_z
Mg1 0.000 0.000 0.000
Mg2 0.500 0.500 0.322
Be1 0.500 0.500 0.715
As1 0.000 0.000 0.601
```

Summary:
Calculated volume (Å³/atom): 18.3
Formation enthalpy at 0 K (eV per atom): 0.126
Distance to the lowest polymorph of the same formula (meV/atom): 302.7
Total DFT energy (no corrections) (eV/atom): -2.765
Total moment (μB per atom): 0.000

---

No. 11
UFe3P3 | PBE-GGA | optimized geometry

Cell and atoms, written as CIF:
```
data_UFe3P3
_chemical_formula_sum 'U2 Fe6 P6'
_cell_length_a 6.060
_cell_length_b 6.060
_cell_length_c 6.060
_cell_angle_alpha 90.00
_cell_angle_beta 90.00
_cell_angle_gamma 90.00
_space_group_name_H-M_alt 'P m -3 n'
_space_group_IT_number 223
_space_group_name_Hall '-P 4n 2 3'
loop_
_atom_site_label
_atom_site_fract_x
_atom_site_fract_y
_atom_site_fract_z
U1 0.000 0.000 0.000
Fe1 0.000 0.250 0.500
P1 0.000 0.500 0.250
```

Summary:
Calculated volume (Å³/atom): 15.9
Formation enthalpy at 0 K (eV per atom): -0.214
Total DFT energy (no corrections) (eV/atom): -7.772
Total moment (μB per atom): 0.825

---

No. 12
Ce8FeIr3I4 | PBE-GGA | optimized geometry

Cell and atoms, written as CIF:
```
data_Ce8FeIr3I4
_chemical_formula_sum 'Ce24 Fe3 Ir9 I12'
_cell_length_a 8.2520
_cell_length_b 8.2520
_cell_length_c 23.8549
_cell_angle_alpha 90.00
_cell_angle_beta 90.00
_cell_angle_gamma 120.00
_space_group_name_H-M_alt 'R -3 m'
_space_group_IT_number 166
_space_group_name_Hall '-R 3 2"'
loop_
_atom_site_label
_atom_site_fract_x
_atom_site_fract_y
_atom_site_fract_z
Ce1 0.0000 0.0000 0.2287
Ce2 0.0121 0.5060 0.2274
Fe1 0.0000 0.0000 0.5000
Ir1 0.0000 0.5000 0.5000
I1 0.0000 0.0000 0.0000
I2 0.0000 0.5000 0.0000
```

Summary:
Calculated volume (Å³/atom): 29.3
Total DFT energy (no corrections) (eV/atom): -6.345
Total moment (μB per atom): 0.406
Raw formation energy (eV/atom): -0.8006